[1]
PBE AlRu3I, relaxed; distance to the lowest polymorph of the same formula = 0.0 meV/atom; magnetic moment = 0.0 μB per formula unit; raw formation energy = 1.280 eV/atom; ρ = 8.1 Mg/m³
1.0
4.533 0.000 0.000
0.000 4.533 0.000
0.000 0.000 4.533
Ru Al I
3 1 1
direct
0.000 0.000 0.500 Ru
0.000 0.500 0.000 Ru
0.500 0.000 0.000 Ru
0.000 0.000 0.000 Al
0.500 0.500 0.500 I

[2]
PBE Al2RuI, relaxed; distance to the lowest polymorph of the same formula = 0.0 meV/atom; magnetic moment = 0.0 μB per formula unit; raw formation energy = 0.431 eV/atom; ρ = 4.1 Mg/m³
1.0
-0.455 -4.016 -4.806
0.413 -4.828 3.995
-5.764 -4.446 0.158
Al Ru I
4 2 2
direct
0.875 0.792 0.750 Al
0.208 0.625 0.250 Al
0.375 0.458 0.750 Al
0.542 0.125 0.250 Al
0.500 0.500 0.000 Ru
0.250 0.750 0.500 Ru
0.000 0.000 0.000 I
0.750 0.250 0.500 I

[3]
PBE AlRu2I, relaxed; distance to the lowest polymorph of the same formula = 344.6 meV/atom; magnetic moment = 0.0 μB per formula unit; raw formation energy = 0.818 eV/atom; ρ = 6.4 Mg/m³
1.0
5.583 0.000 0.000
0.000 5.583 0.000
2.792 2.792 5.907
I Al Ru
2 2 4
direct
0.000 0.000 0.000 I
0.750 0.250 0.500 I
0.500 0.500 0.000 Al
0.250 0.750 0.500 Al
0.875 0.852 0.750 Ru
0.602 0.125 0.250 Ru
0.148 0.625 0.250 Ru
0.375 0.398 0.750 Ru

[4]
PBE Al2RuI, relaxed; distance to the lowest polymorph of the same formula = 319.2 meV/atom; magnetic moment = 0.0 μB per formula unit; raw formation energy = 0.751 eV/atom; ρ = 6.5 Mg/m³
1.0
1.692 -3.834 2.072
0.102 -0.284 4.666
-2.891 -2.922 2.228
I Al Ru
1 2 1
direct
0.500 0.500 0.500 I
0.250 0.250 0.250 Al
0.750 0.750 0.750 Al
0.000 0.000 0.000 Ru

Q: Number 3 is which compound?
A: AlRu2I